No. 1
# Ac8InGe2

A relaxed structure of Ac8InGe2 (PBE, Alexandria via LeMat-Bulk).

The magnetization comes out at 0.00 μB/cell. For the formation energy, the calculation gives -0.25 eV/atom.

The structure belongs to space group C2/m (No. 12); the cell edges are 9.4867, 14.8166 and 6.2260 Å and the angles 90.00°, 105.15° and 90.00°. The asymmetric unit holds Ac at (0.0000, 0.2437, 0.0000), Ac at (0.1076, 0.5000, 0.7975), Ac at (0.1984, 0.1233, 0.5901), In at (0.0000, 0.0000, 0.0000) and Ge at (0.0000, 0.3082, 0.5000).

=====

No. 2
# Mg5SnPb2

A relaxed structure of Mg5SnPb2 (PBE, Alexandria via LeMat-Bulk).

The magnetization comes out at 0.00 μB/cell. For the formation energy, the calculation gives -0.03 eV/atom. The energy above the most stable polymorph in this dataset is 3.58 kJ/mol of atoms.

The structure belongs to space group Immm (No. 71); the cell edges are 4.3512, 6.2202 and 15.1641 Å and the angles 90.00°, 90.00° and 90.00°. The asymmetric unit holds Mg at (0.0000, 0.0000, 0.0000), Mg at (0.0000, 0.2466, 0.3931), Sn at (0.0000, 0.5000, 0.0000) and Pb at (0.0000, 0.0000, 0.2191).

=====

No. 3
# RbHfHgTe2

A relaxed structure of RbHfHgTe2 (PBE, Alexandria via LeMat-Bulk).

The magnetization comes out at 0.00 μB/cell. The uncorrected formation energy comes out at -0.5731 eV/atom.

The structure belongs to space group P4/mmm (No. 123); the cell edges are 5.6576, 5.6576 and 5.6980 Å and the angles 90.00°, 90.00° and 90.00°. The asymmetric unit holds Rb at (0.0000, 0.0000, 0.0000), Hf at (0.5000, 0.5000, 0.5000), Hg at (0.5000, 0.5000, 0.0000) and Te at (0.0000, 0.5000, 0.5000).

=====

No. 4
# VNiMo

A relaxed structure of VNiMo (PBE, Alexandria via LeMat-Bulk).

The magnetization comes out at 0.01 μB/cell. For the formation energy, the calculation gives -0.03 eV/atom. The energy above the most stable polymorph in this dataset is 9.68 kJ/mol of atoms.

The structure belongs to space group P-3m1 (No. 164); the cell edges are 4.2093, 4.2093 and 5.2459 Å and the angles 90.00°, 90.00° and 120.00°. The asymmetric unit holds V at (0.0000, 0.0000, 0.2411), Ni at (0.3333, 0.6667, 0.0941) and Mo at (0.3333, 0.6667, 0.5966).

=====

Among the records above, which one has the highest magnetization? VNiMo

=====

Look up the magnetization of the third one. 0.00 μB/cell

=====

Which value of magnetization does entry 3 give? 0.00 μB/cell